# ZnCrAgIr2 GGA-PBE optimized geometry
# - E_form: 1.776 eV/atom
# - Total moment: 0.67 μB/atom
# - Volume: 107.5 Å³/cell
# - Mass density: 9.4 g cm⁻³
data_ZnCrAgIr2
_cell_length_a 4.878
_cell_length_b 4.518
_cell_length_c 4.878
_cell_angle_alpha 90.00
_cell_angle_beta 90.00
_cell_angle_gamma 90.00
_space_group_name_H-M_alt 'P 1'
_space_group_IT_number 1
loop_
_space_group_symop_operation_xyz
'x,y,z'
loop_
_atom_site_label
_atom_site_type_symbol
_atom_site_fract_x
_atom_site_fract_y
_atom_site_fract_z
_atom_site_occupancy
Cr1 Cr 0.500 0.500 0.500 1
Zn1 Zn 0.000 0.500 0.000 1
Ir1 Ir 0.000 0.000 0.500 1
Ir2 Ir 0.500 0.000 0.000 1
Ag1 Ag 0.000 0.000 0.000 1